(A)
MgPd2Ru2 | PBE | optimized geometry

a = 7.654 Å, b = 7.654 Å, c = 2.773 Å
α = 90.00°, β = 90.00°, γ = 90.00°
Fractional coordinates of all 10 atoms:
Ru 0.175 0.675 0.500
Ru 0.675 0.825 0.500
Ru 0.825 0.325 0.500
Ru 0.325 0.175 0.500
Mg 0.000 0.000 0.000
Mg 0.500 0.500 0.000
Pd 0.377 0.877 0.000
Pd 0.877 0.623 0.000
Pd 0.623 0.123 0.000
Pd 0.123 0.377 0.000



(B)
MgPd2Ru2 | PBE | optimized geometry

a = 3.485 Å, b = 3.485 Å, c = 7.353 Å
α = 76.29°, β = 76.29°, γ = 90.00°
Fractional coordinates of all 5 atoms:
Ru 0.750 0.250 0.500
Ru 0.250 0.750 0.500
Mg 0.000 0.000 0.000
Pd 0.403 0.403 0.195
Pd 0.597 0.597 0.805



(C)
MgPd2Ru2 | PBE | optimized geometry

a = 7.603 Å, b = 7.603 Å, c = 2.823 Å
α = 90.00°, β = 90.00°, γ = 90.00°
Fractional coordinates of all 10 atoms:
Ru 0.388 0.888 0.000
Ru 0.888 0.612 0.000
Ru 0.612 0.112 0.000
Ru 0.112 0.388 0.000
Mg 0.000 0.000 0.000
Mg 0.500 0.500 0.000
Pd 0.185 0.685 0.500
Pd 0.685 0.815 0.500
Pd 0.815 0.315 0.500
Pd 0.315 0.185 0.500



Need the numbers? Relative energies in kJ/mol of atoms: (A) 10.9; (B) 0.0; (C) 5.0.